Computed, not measured: crystalline LiGeS2 at its relaxed geometry at the PBE level of DFT.

Its mass density is 2.84 g cm⁻³. For the total magnetization, the calculation gives 0.0 μB/f.u. The uncorrected formation energy is -63.7 kJ/mol of atoms. The calculation puts the density of states at the Fermi level at 1.5 states/eV per cell. The value obtained for the volume is 168 Å³ per cell.

It has space group Pmn2_1 (No. 31), with a = 4.547 Å, b = 7.735 Å, c = 4.774 Å, α = 90.00°, β = 90.00° and γ = 90.00°. Symmetry generates all atoms from Li at (0.000, 0.119, 0.000), Ge at (0.000, 0.631, 0.026), S at (0.000, 0.383, 0.338) and S at (0.000, 0.861, 0.302).